Here is a relaxed Cs2NaIrI6 crystal from the Alexandria database. Energies are from GGA-PBE.

Lattice parameters (Å, degrees): 8.381 8.381 8.380 59.99 59.99 90.00
Sites, in units of the cell vectors:
I: 0.229 0.229 0.000
I: 0.229 0.229 0.542
I: 0.771 0.771 0.458
I: 0.771 0.771 0.000
I: 0.771 0.229 0.000
I: 0.229 0.771 0.000
Na: 0.500 0.500 0.000
Cs: 0.250 0.750 0.500
Cs: 0.750 0.250 0.500
Ir: 0.000 0.000 0.000

- DOS at the Fermi energy: 0.0000 states/eV per atom
- Formation energy from raw total energies: -0.85 eV per atom
- Space group: Fm-3m


Here is a relaxed TiB2MoC crystal from the Alexandria database. Energies are from GGA-PBE.

Lattice parameters (Å, degrees): 3.627 3.908 3.627 90.00 90.00 90.00
Sites, in units of the cell vectors:
B: 0.500 0.000 0.000
B: 0.000 0.000 0.500
Ti: 0.000 0.500 0.000
Mo: 0.500 0.500 0.500
C: 0.000 0.000 0.000

- DOS at the Fermi energy: 0.3418 states/eV per atom
- Space group: P4/mmm
- Calculated formation energy: 968 meV/atom


Here is a relaxed Rb2Sn2As crystal from the Alexandria database. Energies are from GGA-PBE.

Lattice parameters (Å, degrees): 10.841 10.841 3.222 90.00 90.00 90.00
Sites, in units of the cell vectors:
Rb: 0.706 0.794 0.500
Rb: 0.294 0.206 0.500
Rb: 0.794 0.294 0.500
Rb: 0.206 0.706 0.500
As: 0.500 0.500 0.000
As: 0.000 0.000 0.000
Sn: 0.909 0.591 0.000
Sn: 0.409 0.909 0.000
Sn: 0.591 0.091 0.000
Sn: 0.091 0.409 0.000

- DOS at the Fermi energy: 0.5794 states/eV per atom
- Space group: P4/mbm
- Calculated formation energy: 241 meV/atom


Here is a relaxed Rb2PbClF6 crystal from the Alexandria database. Energies are from GGA-PBE.

Lattice parameters (Å, degrees): 7.424 7.312 7.429 51.74 49.15 62.29
Last column: magnetic moment on the atom in μB.
Sites, in units of the cell vectors:
F: 0.486 0.626 0.704  0.08
F: 0.147 0.006 0.399  0.08
F: 0.292 0.270 0.816  0.01
F: 0.993 0.533 0.130  0.01
F: 0.340 0.362 0.287  0.01
F: 0.640 0.099 0.973  0.01
Rb: 0.525 0.628 0.272  0.00
Rb: 0.108 0.004 0.831  0.00
Cl: 0.816 0.816 0.552  0.62
Pb: 0.316 0.316 0.052  0.00

- ΔE to the lowest computed polymorph: 0 meV per atom
- Formation energy from raw total energies: -2.08 eV per atom
- Space group: P-1


Here is a relaxed FeCu2AgIr crystal from the Alexandria database. Energies are from GGA-PBE.

Lattice parameters (Å, degrees): 4.510 4.649 4.510 90.00 90.00 90.00
Last column: magnetic moment on the atom in μB.
Sites, in units of the cell vectors:
Cu: 0.000 0.000 0.500  0.02
Cu: 0.500 0.000 0.000  0.03
Ir: 0.500 0.500 0.500  0.65
Ag: 0.000 0.000 0.000  0.03
Fe: 0.000 0.500 0.000  3.19

- DOS at the Fermi energy: 0.8742 states/eV per atom
- Space group: P4/mmm
- Calculated formation energy: 1661 meV/atom


Here is a relaxed ZnCr2 crystal from the Alexandria database. Energies are from GGA-PBE.

Lattice parameters (Å, degrees): 5.683 5.683 5.683 90.00 90.00 90.00
Sites, in units of the cell vectors:
Cr: 0.404 0.096 0.904
Cr: 0.404 0.404 0.404
Cr: 0.904 0.404 0.096
Cr: 0.904 0.096 0.596
Cr: 0.596 0.596 0.596
Cr: 0.096 0.596 0.904
Cr: 0.596 0.904 0.096
Cr: 0.096 0.904 0.404
Zn: 0.000 0.500 0.500
Zn: 0.500 0.000 0.500
Zn: 0.000 0.000 0.000
Zn: 0.500 0.500 0.000

- DOS at the Fermi energy: 0.4748 states/eV per atom
- Space group: Pa-3
- Calculated formation energy: 1067 meV/atom


Here is a relaxed Tb2CoGe2 crystal from the Alexandria database. Energies are from GGA-PBE.

Lattice parameters (Å, degrees): 4.203 5.659 9.338 82.28 77.02 68.16
Sites, in units of the cell vectors:
Tb: 0.994 0.678 0.333
Tb: 0.006 0.322 0.667
Tb: 0.189 0.738 0.884
Tb: 0.811 0.262 0.116
Ge: 0.340 0.758 0.561
Ge: 0.513 0.851 0.122
Ge: 0.660 0.242 0.439
Ge: 0.487 0.149 0.878
Co: 0.276 0.106 0.344
Co: 0.724 0.894 0.656

- DOS at the Fermi energy: 0.6691 states/eV per atom
- Space group: P-1
- Calculated formation energy: -748 meV/atom


Here is a relaxed SrCuW3 crystal from the Alexandria database. Energies are from GGA-PBE.

Lattice parameters (Å, degrees): 4.759 4.759 4.759 90.00 90.00 90.00
Sites, in units of the cell vectors:
W: 0.000 0.000 0.500
W: 0.000 0.500 0.000
W: 0.500 0.000 0.000
Cu: 0.500 0.500 0.500
Sr: 0.000 0.000 0.000

- ΔE to the lowest computed polymorph: 1875 meV per atom
- DOS at the Fermi energy: 1.1539 states/eV per atom
- Space group: Pm-3m
- Calculated formation energy: 3794 meV/atom


Here is a relaxed BP crystal from the Alexandria database. Energies are from GGA-PBE.

Lattice parameters (Å, degrees): 3.166 3.085 6.099 90.00 91.60 90.00
Sites, in units of the cell vectors:
P: 0.319 0.750 0.789
P: 0.681 0.250 0.211
B: 0.823 0.750 0.993
B: 0.177 0.250 0.007

- DOS at the Fermi energy: 0.0803 states/eV per atom
- Space group: P2_1/m
- Calculated formation energy: 322 meV/atom


Here is a relaxed SnAsI2 crystal from the Alexandria database. Energies are from GGA-PBE.

Lattice parameters (Å, degrees): 5.510 5.510 5.510 60.00 60.00 60.00
Sites, in units of the cell vectors:
As: 0.000 0.000 0.000
I: 0.250 0.250 0.250
I: 0.750 0.750 0.750
Sn: 0.500 0.500 0.500

- ΔE to the lowest computed polymorph: 68 meV per atom
- DOS at the Fermi energy: 1.1813 states/eV per atom
- Formation energy from raw total energies: 0.38 eV per atom
- Space group: Fm-3m


Here is a relaxed ReOs crystal from the Alexandria database. Energies are from GGA-PBE.

Lattice parameters (Å, degrees): 2.772 4.391 4.797 90.00 90.00 90.00
Sites, in units of the cell vectors:
Re: 0.000 0.500 0.330
Re: 0.500 0.000 0.503
Os: 0.500 0.500 0.836
Os: 0.000 0.000 0.998

- ΔE to the lowest computed polymorph: 24 meV per atom
- DOS at the Fermi energy: 0.5886 states/eV per atom
- Space group: Pmmn
- Calculated formation energy: -69 meV/atom


Here is a relaxed Nd8TePb5 crystal from the Alexandria database. Energies are from GGA-PBE.

Lattice parameters (Å, degrees): 8.372 8.372 8.372 109.48 109.48 109.46
Sites, in units of the cell vectors:
Nd: 0.627 0.236 0.751
Nd: 0.985 0.876 0.253
Nd: 0.623 0.732 0.747
Nd: 0.124 0.373 0.609
Nd: 0.764 0.515 0.391
Nd: 0.124 0.377 0.109
Nd: 0.485 0.876 0.249
Nd: 0.268 0.015 0.891
Pb: 0.750 0.125 0.124
Pb: 0.875 0.999 0.626
Pb: 0.373 0.250 0.374
Pb: 0.001 0.627 0.876
Pb: 0.500 0.500 0.000
Te: 0.250 0.750 0.500

- DOS at the Fermi energy: 0.8216 states/eV per atom
- Formation energy from raw total energies: -0.69 eV per atom
- Space group: I-4


Here is a relaxed MgTlW2 crystal from the Alexandria database. Energies are from GGA-PBE.

Lattice parameters (Å, degrees): 4.875 2.867 5.299 83.14 90.00 90.00
Sites, in units of the cell vectors:
Mg: 0.500 0.250 0.250
W: 0.000 0.950 0.020
W: 0.000 0.550 0.480
Tl: 0.500 0.750 0.750

- ΔE to the lowest computed polymorph: 227 meV per atom
- DOS at the Fermi energy: 0.6158 states/eV per atom
- Space group: P2/m
- Calculated formation energy: 692 meV/atom


Here is a relaxed HfScNi crystal from the Alexandria database. Energies are from GGA-PBE.

Lattice parameters (Å, degrees): 4.391 4.391 7.746 73.53 73.53 60.00
Sites, in units of the cell vectors:
Hf: 0.626 0.626 0.123
Hf: 0.374 0.374 0.877
Ni: 0.744 0.744 0.769
Ni: 0.256 0.256 0.231
Sc: 0.125 0.125 0.626
Sc: 0.875 0.875 0.374

- ΔE to the lowest computed polymorph: 206 meV per atom
- DOS at the Fermi energy: 1.1838 states/eV per atom
- Space group: R-3m
- Calculated formation energy: -108 meV/atom


Here is a relaxed Pu3Mn2Ga3 crystal from the Alexandria database. Energies are from GGA-PBE.

Lattice parameters (Å, degrees): 4.471 4.589 7.995 105.57 106.24 90.00
Last column: magnetic moment on the atom in μB.
Sites, in units of the cell vectors:
Mn: 0.215 0.094 0.429  -1.85
Mn: 0.785 0.906 0.571  -1.85
Pu: 0.000 0.000 0.000  5.28
Pu: 0.845 0.420 0.691  4.89
Pu: 0.155 0.580 0.309  4.89
Ga: 0.363 0.924 0.727  0.00
Ga: 0.637 0.076 0.273  0.00
Ga: 0.500 0.500 0.000  -0.08

- DOS at the Fermi energy: 1.8293 states/eV per atom
- Space group: C2/m
- Calculated formation energy: -277 meV/atom


Here is a relaxed LaY2ScS4 crystal from the Alexandria database. Energies are from GGA-PBE.

Lattice parameters (Å, degrees): 3.898 6.870 6.805 108.99 90.00 90.00
Sites, in units of the cell vectors:
La: 0.500 0.500 0.000
Y: 0.000 0.500 0.500
Y: 0.500 0.000 0.500
Sc: 0.000 0.000 0.000
S: 0.500 0.767 0.755
S: 0.000 0.232 0.743
S: 0.000 0.768 0.257
S: 0.500 0.233 0.245

- DOS at the Fermi energy: 0.6589 states/eV per atom
- Formation energy from raw total energies: -1.96 eV per atom
- Space group: P2/m


Table of calculated total energy (Ha/atom), in record order: -0.109 -0.268 -0.098 -0.145 -0.147 -0.212 -0.216 -0.189 -0.210 -0.094 -0.438 -0.182 -0.249 -0.274 -0.334 -0.259
Table of magnetization (μB per cell), in record order: 0.0 0.0 0.0 1.0 3.9 0.0 0.0 0.0 0.0 0.0 0.0 0.0 0.0 0.0 11.7 0.0